# 1
# Dy6Y12Mg

A relaxed Dy6Y12Mg crystal (GGA-PBE, Alexandria).

a b c (Å): 8.6312 8.6312 8.6312
angles (deg): 97.34 97.34 97.34
Fractional coordinates of all 19 atoms:
Y: 0.9999 0.2616 0.7384
Y: 0.8325 0.4127 0.4126
Y: 0.0001 0.7384 0.2616
Y: 0.5874 0.1675 0.5873
Y: 0.5873 0.5874 0.1675
Y: 0.4127 0.4126 0.8325
Y: 0.7384 0.9999 0.2616
Y: 0.1675 0.5873 0.5874
Y: 0.2616 0.7384 0.9999
Y: 0.4126 0.8325 0.4127
Y: 0.2616 0.0001 0.7384
Y: 0.7384 0.2616 0.0001
Dy: 0.5921 0.8637 0.8635
Dy: 0.1365 0.4079 0.1363
Dy: 0.8637 0.8635 0.5921
Dy: 0.8635 0.5921 0.8637
Dy: 0.4079 0.1363 0.1365
Dy: 0.1363 0.1365 0.4079
Mg: 0.0000 0.0000 0.0000

Results
The distance to the lowest polymorph of the same formula is 2.0 kJ/mol of atoms. Its space group is R-3m, No. 166. The energy is -103.95 eV/f.u. As for the formation energy: 0.15 eV/atom.

# 2
# Na2TcF8

A relaxed Na2TcF8 crystal (GGA-PBE, Alexandria).

a b c (Å): 4.5458 7.6951 7.7253
angles (deg): 80.27 130.77 121.39
Each line ends with the local moment (μB).
Fractional coordinates of all 11 atoms:
Tc: 0.5000 0.0000 0.0000  1.10
F: 0.4204 0.7512 0.9254  0.03
F: 0.3312 0.8758 0.1762  0.04
F: 0.6688 0.1242 0.8238  0.04
F: 0.6634 0.5810 0.3577  -0.17
F: 0.3366 0.4190 0.6423  -0.17
F: 0.1236 0.1079 0.2741  0.03
F: 0.8764 0.8921 0.7259  0.03
F: 0.5796 0.2488 0.0746  0.03
Na: 0.8213 0.4015 0.6406  0.00
Na: 0.1787 0.5985 0.3594  0.00

Results
Its space group is P-1, No. 2. The energy is -51.72 eV/f.u. For the formation energy without anion corrections, the calculation gives -23.7 eV/f.u.

# 3
# Nd5RhPb2

A relaxed Nd5RhPb2 crystal (GGA-PBE, Alexandria).

a b c (Å): 4.7346 8.2664 12.6285
angles (deg): 90.00 90.00 90.00
Fractional coordinates of all 16 atoms:
Nd: 0.0000 0.3661 0.2980
Nd: 0.0000 0.1339 0.7980
Nd: 0.5000 0.1869 0.0659
Nd: 0.0000 0.0000 0.5000
Nd: 0.0000 0.8661 0.2020
Nd: 0.5000 0.3131 0.5659
Nd: 0.5000 0.6869 0.4341
Nd: 0.0000 0.6339 0.7020
Nd: 0.5000 0.8131 0.9341
Nd: 0.0000 0.5000 0.0000
Pb: 0.5000 0.0800 0.3278
Pb: 0.5000 0.5800 0.1722
Pb: 0.5000 0.9200 0.6722
Pb: 0.5000 0.4200 0.8278
Rh: 0.0000 0.0000 0.0000
Rh: 0.0000 0.5000 0.5000

Results
Its space group is Pbam, No. 55. The energy is -43.06 eV/f.u. As for the formation energy: -0.56 eV/atom.

# 4
# Zr2InRh6

A relaxed Zr2InRh6 crystal (GGA-PBE, Alexandria).

a b c (Å): 3.0712 7.5296 7.9631
angles (deg): 118.21 101.00 90.00
Fractional coordinates of all 9 atoms:
Rh: 0.5000 0.3003 0.0000
Rh: 0.1687 0.9597 0.3360
Rh: 0.5000 0.6997 0.0000
Rh: 0.8313 0.6237 0.6640
Rh: 0.8313 0.0403 0.6640
Rh: 0.1687 0.3763 0.3360
In: 0.0000 0.0000 0.0000
Zr: 0.6662 0.6643 0.3286
Zr: 0.3338 0.3357 0.6714

Results
Its space group is C2/m, No. 12. The energy is -66.44 eV/f.u. As for the formation energy: -0.28 eV/atom.

# 5
# Y7Hg2Au2

A relaxed Y7Hg2Au2 crystal (GGA-PBE, Alexandria).

a b c (Å): 6.8622 7.3327 6.8622
angles (deg): 90.00 108.85 90.00
Fractional coordinates of all 11 atoms:
Y: 0.5000 0.7445 0.5000
Y: 0.5000 0.7314 0.0000
Y: 0.0000 0.0000 0.0000
Y: 0.0000 0.2686 0.5000
Y: 0.5000 0.2686 0.0000
Y: 0.5000 0.2555 0.5000
Y: 0.0000 0.7314 0.5000
Au: 0.7058 0.0000 0.2942
Au: 0.2942 0.0000 0.7058
Hg: 0.8195 0.5000 0.8195
Hg: 0.1805 0.5000 0.1805

Results
Its space group is Cmmm, No. 65. The energy is -55.74 eV/f.u. As for the formation energy: -0.30 eV/atom.

# 6
# Be2ReSe

A relaxed Be2ReSe crystal (GGA-PBE, Alexandria).

a b c (Å): 4.5801 4.5801 4.5801
angles (deg): 140.24 126.72 68.49
Fractional coordinates of all 4 atoms:
Be: 0.7730 0.2730 0.5000
Be: 0.9843 0.9843 0.0000
Se: 0.2361 0.7361 0.5000
Re: 0.5066 0.5066 0.0000

Results
Its space group is Imm2, No. 44. The energy is -21.94 eV/f.u. For the formation energy without anion corrections, the calculation gives 1.4 eV/f.u.

# 7
# CaTcAs2

A relaxed CaTcAs2 crystal (GGA-PBE, Alexandria).

a b c (Å): 4.7098 4.7098 4.7098
angles (deg): 60.00 60.00 60.00
Each line ends with the local moment (μB).
Fractional coordinates of all 4 atoms:
As: 0.2500 0.2500 0.2500  -0.02
As: 0.0000 0.0000 0.0000  -0.01
Ca: 0.5000 0.5000 0.5000  0.04
Tc: 0.7500 0.7500 0.7500  0.52

Results
The distance to the lowest polymorph of the same formula is 72.1 kJ/mol of atoms. Its space group is F-43m, No. 216. The energy is -20.48 eV/f.u. As for the formation energy: 0.30 eV/atom.

# 8
# HgRhO2

A relaxed HgRhO2 crystal (GGA-PBE, Alexandria).

a b c (Å): 5.3428 6.4641 7.1511
angles (deg): 90.00 90.00 90.00
Fractional coordinates of all 16 atoms:
Rh: 0.9828 0.9467 0.0038
Rh: 0.5172 0.4467 0.5038
Rh: 0.0172 0.0533 0.5038
Rh: 0.4828 0.5533 0.0038
O: 0.8354 0.6771 0.0672
O: 0.1646 0.3229 0.5672
O: 0.3354 0.8229 0.0672
O: 0.0760 0.9300 0.7460
O: 0.5760 0.5700 0.7460
O: 0.9240 0.0700 0.2460
O: 0.4240 0.4300 0.2460
O: 0.6646 0.1771 0.5672
Hg: 0.0250 0.3748 0.9329
Hg: 0.5250 0.1252 0.9329
Hg: 0.4750 0.8748 0.4329
Hg: 0.9750 0.6252 0.4329

Results
Its space group is Pna2_1, No. 33. The energy is -18.51 eV/f.u. For the formation energy without anion corrections, the calculation gives -0.9 eV/f.u.

# 9
# Nd3Eu

A relaxed Nd3Eu crystal (GGA-PBE, Alexandria).

a b c (Å): 5.9089 5.9089 5.9089
angles (deg): 60.00 60.00 60.00
Each line ends with the local moment (μB).
Fractional coordinates of all 4 atoms:
Nd: 0.2500 0.2500 0.2500  0.20
Nd: 0.7500 0.7500 0.7500  0.20
Nd: 0.0000 0.0000 0.0000  0.20
Eu: 0.5000 0.5000 0.5000  6.90

Results
The distance to the lowest polymorph of the same formula is 7.7 kJ/mol of atoms. Its space group is Fm-3m, No. 225. The energy is -24.04 eV/f.u. As for the formation energy: 0.14 eV/atom.

# 10
# LaHo2PuBi4

A relaxed LaHo2PuBi4 crystal (GGA-PBE, Alexandria).

a b c (Å): 4.5528 7.8639 7.8782
angles (deg): 70.50 90.00 90.00
Each line ends with the local moment (μB).
Fractional coordinates of all 8 atoms:
Bi: 0.5000 0.2389 0.7580  -0.05
Bi: 0.5000 0.7611 0.2420  -0.05
Bi: 0.0000 0.2422 0.2482  -0.09
Bi: 0.0000 0.7578 0.7518  -0.09
Ho: 0.0000 0.0000 0.0000  -0.02
Ho: 0.5000 0.0000 0.5000  -0.07
La: 0.0000 0.5000 0.5000  -0.01
Pu: 0.5000 0.5000 0.0000  5.31

Results
Its space group is P2/m, No. 10. The energy is -49.96 eV/f.u. As for the formation energy: -0.75 eV/atom.

# 11
# Er8Te4Se3S

A relaxed Er8Te4Se3S crystal (GGA-PBE, Alexandria).

a b c (Å): 8.2796 8.3784 8.2789
angles (deg): 119.60 120.00 90.00
Fractional coordinates of all 16 atoms:
Er: 0.2280 0.7085 0.4561
Er: 0.7720 0.2915 0.5439
Er: 0.2620 0.2861 0.5241
Er: 0.2280 0.7085 0.9805
Er: 0.2475 0.2915 0.0195
Er: 0.7380 0.7139 0.4759
Er: 0.7720 0.2915 0.0195
Er: 0.7525 0.7085 0.9805
Te: 0.0000 0.0000 0.5000
Te: 0.0000 0.0000 0.0000
Te: 0.5000 0.0000 0.0000
Te: 0.5000 0.0000 0.5000
Se: 0.5000 0.5000 0.5000
Se: 0.0000 0.5000 0.5000
Se: 0.5000 0.5000 0.0000
S: 0.0000 0.5000 0.0000

Results
Its space group is R-3m, No. 166. The energy is -87.76 eV/f.u. For the formation energy without anion corrections, the calculation gives -24.1 eV/f.u.

# 12
# Sm2InCu4Ge3

A relaxed Sm2InCu4Ge3 crystal (GGA-PBE, Alexandria).

a b c (Å): 4.1740 4.1740 10.5115
angles (deg): 90.00 90.00 90.00
Fractional coordinates of all 10 atoms:
Ge: 0.0000 0.5000 0.1264
Ge: 0.5000 0.0000 0.8736
Ge: 0.0000 0.0000 0.5000
Sm: 0.0000 0.5000 0.7681
Sm: 0.5000 0.0000 0.2319
Cu: 0.5000 0.5000 0.0000
Cu: 0.5000 0.0000 0.6479
Cu: 0.0000 0.0000 0.0000
Cu: 0.0000 0.5000 0.3521
In: 0.5000 0.5000 0.5000

Results
Its space group is P-4m2, No. 115. The energy is -47.00 eV/f.u. As for the formation energy: -0.46 eV/atom.

# 13
# Mn2InAgCl6

A relaxed Mn2InAgCl6 crystal (GGA-PBE, Alexandria).

a b c (Å): 6.8405 9.6092 9.6092
angles (deg): 90.83 80.89 80.89
Each line ends with the local moment (μB).
Fractional coordinates of all 20 atoms:
Mn: 0.2468 0.3843 0.2271  4.36
Mn: 0.7532 0.6157 0.7729  4.36
Mn: 0.2532 0.7729 0.6157  4.36
Mn: 0.7468 0.2271 0.3843  4.36
Cl: 0.8081 0.0415 0.2182  0.05
Cl: 0.6919 0.7818 0.9585  0.05
Cl: 0.9429 0.7041 0.5710  0.07
Cl: 0.5571 0.4290 0.2959  0.07
Cl: 0.3081 0.2182 0.0415  0.05
Cl: 0.5835 0.1640 0.6025  0.05
Cl: 0.4429 0.5710 0.7041  0.07
Cl: 0.4165 0.8360 0.3975  0.05
Cl: 0.0835 0.6025 0.1640  0.05
Cl: 0.0571 0.2959 0.4290  0.07
Cl: 0.1919 0.9585 0.7818  0.05
Cl: 0.9165 0.3975 0.8360  0.05
Ag: 0.2500 0.2927 0.7073  0.02
Ag: 0.7500 0.7073 0.2927  0.02
In: 0.2500 0.8996 0.1004  0.01
In: 0.7500 0.1004 0.8996  0.01

Results
Its space group is C2/c, No. 15. The energy is -43.85 eV/f.u. For the formation energy without anion corrections, the calculation gives -8.8 eV/f.u.

# 14
# RbHCl3

A relaxed RbHCl3 crystal (GGA-PBE, Alexandria).

a b c (Å): 7.2957 7.2957 6.8767
angles (deg): 57.96 57.96 90.00
Each line ends with the local moment (μB).
Fractional coordinates of all 10 atoms:
Cl: 0.6944 0.3056 0.0000  0.36
Cl: 0.8296 0.8296 0.3409  0.08
Cl: 0.1704 0.1704 0.6591  0.08
Cl: 0.6944 0.6944 0.0000  0.36
Cl: 0.3056 0.3056 0.0000  0.36
Cl: 0.3056 0.6944 0.0000  0.36
Rb: 0.7500 0.2500 0.5000  0.00
Rb: 0.2500 0.7500 0.5000  0.00
H: 0.5000 0.5000 0.0000  -0.02
H: 0.0000 0.0000 0.0000  0.00

Results
The distance to the lowest polymorph of the same formula is 23.3 kJ/mol of atoms. Its space group is I4/mmm, No. 139. The energy is -13.01 eV/f.u.

# 15
# LiSm4Si2

A relaxed LiSm4Si2 crystal (GGA-PBE, Alexandria).

a b c (Å): 4.9853 4.9853 9.1445
angles (deg): 74.18 74.18 60.00
Fractional coordinates of all 7 atoms:
Sm: 0.3792 0.3792 0.8624
Sm: 0.7913 0.7913 0.6262
Sm: 0.2087 0.2087 0.3738
Sm: 0.6208 0.6208 0.1376
Li: 0.0000 0.0000 0.0000
Si: 0.9074 0.9074 0.2779
Si: 0.0926 0.0926 0.7221

Results
Its space group is R-3m, No. 166. The energy is -33.83 eV/f.u. For the formation energy without anion corrections, the calculation gives -2.2 eV/f.u.

# 16
# LaAlNi2

A relaxed LaAlNi2 crystal (GGA-PBE, Alexandria).

a b c (Å): 5.2775 5.2775 5.2775
angles (deg): 135.25 135.25 65.14
Fractional coordinates of all 4 atoms:
Al: 0.5000 0.5000 0.0000
Ni: 0.0000 0.0000 0.0000
Ni: 0.2500 0.7500 0.5000
La: 0.7500 0.2500 0.5000

Results
Its space group is I-4m2, No. 119. The energy is -20.40 eV/f.u. As for the formation energy: -0.04 eV/atom.

# 17
# Ho2ErSb

A relaxed Ho2ErSb crystal (GGA-PBE, Alexandria).

a b c (Å): 4.7410 11.9584 10.7867
angles (deg): 123.66 102.70 90.00
Fractional coordinates of all 16 atoms:
Sb: 0.8807 0.6275 0.7613
Sb: 0.8807 0.1338 0.7613
Sb: 0.1193 0.8662 0.2387
Sb: 0.1193 0.3725 0.2387
Ho: 0.2945 0.6460 0.5891
Ho: 0.9078 0.4078 0.8157
Ho: 0.7055 0.3540 0.4109
Ho: 0.9053 0.9053 0.8106
Ho: 0.0922 0.5922 0.1843
Ho: 0.0947 0.0947 0.1894
Ho: 0.7055 0.0570 0.4109
Ho: 0.2945 0.9430 0.5891
Er: 0.5000 0.3007 0.0000
Er: 0.2866 0.2866 0.5732
Er: 0.5000 0.6993 0.0000
Er: 0.7134 0.7134 0.4268

Results
The distance to the lowest polymorph of the same formula is 16.0 kJ/mol of atoms. Its space group is Immm, No. 71. The energy is -19.06 eV/f.u. For the formation energy without anion corrections, the calculation gives -1.2 eV/f.u.

# 18
# Tl12Te2Se5

A relaxed Tl12Te2Se5 crystal (GGA-PBE, Alexandria).

a b c (Å): 8.3879 10.1575 8.9637
angles (deg): 106.70 90.00 114.39
Fractional coordinates of all 19 atoms:
Te: 0.2442 0.0000 0.0000
Te: 0.7558 0.0000 0.0000
Tl: 0.9101 0.3728 0.1072
Tl: 0.3944 0.2716 0.5167
Tl: 0.8772 0.2716 0.5167
Tl: 0.5373 0.6272 0.8928
Tl: 0.6056 0.7284 0.4833
Tl: 0.1228 0.7284 0.4833
Tl: 0.0883 0.1766 0.8347
Tl: 0.9117 0.8234 0.1653
Tl: 0.0899 0.6272 0.8928
Tl: 0.4946 0.9891 0.2586
Tl: 0.5054 0.0109 0.7414
Tl: 0.4627 0.3728 0.1072
Se: 0.2596 0.5191 0.6165
Se: 0.6745 0.3490 0.8076
Se: 0.3255 0.6510 0.1924
Se: 0.7404 0.4809 0.3835
Se: 0.0000 0.0000 0.5000

Results
Its space group is C2/m, No. 12. The energy is -57.24 eV/f.u. For the formation energy without anion corrections, the calculation gives -5.1 eV/f.u.

# 19
# SrTl2Tc

A relaxed SrTl2Tc crystal (GGA-PBE, Alexandria).

a b c (Å): 5.4700 5.4700 5.4700
angles (deg): 128.01 128.01 76.62
Each line ends with the local moment (μB).
Fractional coordinates of all 4 atoms:
Tl: 0.5000 0.5000 0.0000  -0.03
Tl: 0.0000 0.0000 0.0000  -0.03
Tc: 0.7500 0.2500 0.5000  1.50
Sr: 0.2500 0.7500 0.5000  -0.04

Results
The distance to the lowest polymorph of the same formula is 10.4 kJ/mol of atoms. Its space group is I4/mmm, No. 139. The energy is -15.06 eV/f.u. As for the formation energy: 0.43 eV/atom.

# 20
# Sr2La4Bi3N2

A relaxed Sr2La4Bi3N2 crystal (GGA-PBE, Alexandria).

a b c (Å): 5.0136 5.0136 14.0412
angles (deg): 100.28 100.28 90.00
Fractional coordinates of all 11 atoms:
N: 0.4006 0.4006 0.8013
N: 0.5994 0.5994 0.1987
La: 0.9143 0.4143 0.8285
La: 0.4143 0.9143 0.8285
La: 0.0857 0.5857 0.1715
La: 0.5857 0.0857 0.1715
Bi: 0.1759 0.1759 0.3518
Bi: 0.8241 0.8241 0.6482
Bi: 0.0000 0.0000 0.0000
Sr: 0.3049 0.3049 0.6098
Sr: 0.6951 0.6951 0.3902

Results
Its space group is I4/mmm, No. 139. The energy is -63.17 eV/f.u. For the formation energy without anion corrections, the calculation gives -11.8 eV/f.u.